No. 1
A relaxed CuRhN2O crystal, computed with GGA-PBEsol.

a = 3.660 Å, b = 3.660 Å, c = 3.674 Å
α = 90.00°, β = 90.00°, γ = 90.00°
Element x y z (fractional)
Cu1 0.000 0.000 0.000
Rh1 0.500 0.500 0.500
N1 0.000 0.500 0.000
N2 0.500 0.000 0.000
O1 0.000 0.000 0.500

Computed properties:
Its total DFT energy (no corrections) is -5.496 eV per atom.



No. 2
A relaxed CuRhN2O crystal, computed with GGA-PBEsol.

a = 3.680 Å, b = 3.680 Å, c = 4.124 Å
α = 90.00°, β = 90.00°, γ = 90.00°
Element x y z (fractional)
Cu1 0.000 0.000 0.000
Rh1 0.500 0.500 0.500
N1 0.000 0.500 0.500
N2 0.500 0.000 0.500
O1 0.500 0.500 0.000

Computed properties:
Its total DFT energy (no corrections) is -5.882 eV per atom.



No. 3
A relaxed ScCuNO2 crystal, computed with GGA-PBEsol.

a = 3.684 Å, b = 3.684 Å, c = 3.657 Å
α = 90.00°, β = 90.00°, γ = 90.00°
Element x y z (fractional)
Sc1 0.000 0.000 0.000
Cu1 0.500 0.500 0.500
N1 0.500 0.500 0.000
O1 0.000 0.500 0.500
O2 0.500 0.000 0.500

Computed properties:
Its total DFT energy (no corrections) is -6.731 eV per atom.



No. 4
A relaxed CuSnN2O crystal, computed with GGA-PBEsol.

a = 4.140 Å, b = 4.140 Å, c = 3.990 Å
α = 90.00°, β = 90.00°, γ = 90.00°
Element x y z (fractional)
Cu1 0.000 0.000 0.000
Sn1 0.500 0.500 0.500
N1 0.000 0.500 0.500
N2 0.500 0.000 0.500
O1 0.500 0.500 0.000

Computed properties:
Its total DFT energy (no corrections) is -5.044 eV per atom.



No. 5
A relaxed SrCuNO2 crystal, computed with GGA-PBEsol.

a = 4.508 Å, b = 4.508 Å, c = 4.778 Å
α = 90.00°, β = 90.00°, γ = 90.00°
Element x y z (fractional)
Sr1 0.000 0.000 0.000
Cu1 0.500 0.500 0.500
N1 0.000 0.000 0.500
O1 0.000 0.500 0.000
O2 0.500 0.000 0.000

Computed properties:
Its total DFT energy (no corrections) is -4.064 eV per atom.



No. 6
A relaxed CuTcNO2 crystal, computed with GGA-PBEsol.

a = 3.751 Å, b = 3.751 Å, c = 3.858 Å
α = 90.00°, β = 90.00°, γ = 90.00°
Element x y z (fractional)
Cu1 0.000 0.000 0.000
Tc1 0.500 0.500 0.500
N1 0.500 0.500 0.000
O1 0.000 0.500 0.500
O2 0.500 0.000 0.500

Computed properties:
Its total DFT energy (no corrections) is -7.176 eV per atom.



Number 1: DOS at the Fermi energy 4.32 states/eV per cell. Number 2: DOS at the Fermi energy 3.82 states/eV per cell. Number 3: DOS at the Fermi energy 2.91 states/eV per cell. Number 4: DOS at the Fermi energy 1.75 states/eV per cell. Number 5: DOS at the Fermi energy 2.59 states/eV per cell. Number 6: DOS at the Fermi energy 1.64 states/eV per cell.